[1]
{"formula": "YZnGa4", "functional": "PBE", "state": "relaxed", "lattice_angstrom": [[-1.526, 1.213, -4.005], [-2.373, -4.790, 1.914], [-8.336, 4.581, 4.635]], "species": ["Zn", "Zn", "Ga", "Ga", "Ga", "Ga", "Ga", "Ga", "Ga", "Ga", "Y", "Y"], "frac_coords": [[0.500, 0.500, 0.000], [0.000, 0.500, 0.500], [0.745, 0.990, 0.443], [0.755, 0.010, 0.057], [0.255, 0.010, 0.557], [0.245, 0.990, 0.943], [0.444, 0.387, 0.746], [0.944, 0.387, 0.246], [0.556, 0.613, 0.254], [0.056, 0.613, 0.754], [0.250, 0.000, 0.250], [0.750, 0.000, 0.750]], "spacegroup": "P-1, No. 2", "de_polymorph_mev_per_atom": 0}

---

[2]
{"formula": "Y3ZnGa3", "functional": "PBE", "state": "relaxed", "lattice_angstrom": [[4.332, 0.000, 0.653], [2.139, 5.376, 0.508], [0.183, 0.015, 13.494]], "species": ["Ga", "Ga", "Ga", "Ga", "Ga", "Ga", "Y", "Y", "Y", "Y", "Y", "Y", "Zn", "Zn"], "frac_coords": [[0.130, 0.286, 0.454], [0.870, 0.714, 0.546], [0.113, 0.849, 0.926], [0.034, 0.163, 0.768], [0.966, 0.837, 0.232], [0.887, 0.151, 0.074], [0.538, 0.306, 0.619], [0.257, 0.265, 0.222], [0.743, 0.735, 0.778], [0.462, 0.694, 0.381], [0.602, 0.717, 0.079], [0.398, 0.283, 0.921], [0.754, 0.099, 0.393], [0.246, 0.901, 0.607]], "spacegroup": "C2/m, No. 12", "energy_ev_per_atom": -4.88}

---

What did the first record say?
{"formula": "YZnGa4", "functional": "PBE", "state": "relaxed", "lattice_angstrom": [[-1.526, 1.213, -4.005], [-2.373, -4.790, 1.914], [-8.336, 4.581, 4.635]], "species": ["Zn", "Zn", "Ga", "Ga", "Ga", "Ga", "Ga", "Ga", "Ga", "Ga", "Y", "Y"], "frac_coords": [[0.500, 0.500, 0.000], [0.000, 0.500, 0.500], [0.745, 0.990, 0.443], [0.755, 0.010, 0.057], [0.255, 0.010, 0.557], [0.245, 0.990, 0.943], [0.444, 0.387, 0.746], [0.944, 0.387, 0.246], [0.556, 0.613, 0.254], [0.056, 0.613, 0.754], [0.250, 0.000, 0.250], [0.750, 0.000, 0.750]], "spacegroup": "P-1, No. 2", "de_polymorph_mev_per_atom": 0}